DFT (SCAN) results for a crystal of TlAgTe relaxed with PBEsol.

Cell and atoms, written as POSCAR:
```
TlAgTe
1.0
8.527 0.000 0.000
0.000 4.817 0.000
0.000 0.000 7.772
Tl Ag Te
4 4 4
Cartesian
0.158 1.204 1.361
4.105 3.613 5.247
4.422 1.204 2.525
8.369 3.613 6.411
1.432 3.613 3.189
2.831 1.204 7.074
5.696 3.613 0.697
7.095 1.204 4.583
1.549 1.204 4.635
2.715 3.613 0.749
5.812 1.204 7.023
6.978 3.613 3.137
```

Properties
ΔE to the lowest computed polymorph, eV per formula unit: 0.00
Formation energy from raw total energies, eV/atom: -0.208



DFT (SCAN) results for a crystal of NbZn2SeS relaxed with PBEsol.

Cell and atoms, written as POSCAR:
```
NbZn2SeS
1.0
4.652 0.000 0.000
0.000 4.652 0.000
0.000 0.000 4.936
Nb Zn Se S
1 2 1 1
Cartesian
0.000 0.000 0.000
0.000 2.326 2.468
2.326 0.000 2.468
2.326 2.326 2.468
2.326 2.326 0.000
```

Properties
Formation energy from raw total energies, eV/atom: 0.926
Fermi-level density of states, states/eV/atom: 0.66



DFT (SCAN) results for a crystal of LiPm2Co relaxed with PBEsol.

Cell and atoms, written as POSCAR:
```
LiPm2Co
1.0
0.000 3.468 3.468
3.468 0.000 3.468
3.468 3.468 0.000
Li Pm Co
1 2 1
Cartesian
0.000 0.000 0.000
1.734 1.734 1.734
5.202 5.202 5.202
3.468 3.468 3.468
```

Properties
Fermi-level density of states, states/eV/atom: 0.76



DFT (SCAN) results for a crystal of Be3GaN relaxed with PBEsol.

Cell and atoms, written as POSCAR:
```
Be3GaN
1.0
4.160 0.000 0.000
0.000 4.160 0.000
0.000 0.000 4.160
Be Ga N
3 1 1
Cartesian
0.000 0.000 2.080
0.000 2.080 0.000
2.080 0.000 0.000
0.000 0.000 0.000
2.080 2.080 2.080
```

Properties
Formation energy from raw total energies, eV/atom: 1.561
Fermi-level density of states, states/eV/atom: 0.21



DFT (SCAN) results for a crystal of TaCl relaxed with PBEsol.

Cell and atoms, written as POSCAR:
```
TaCl
1.0
2.988 0.000 0.000
-1.494 2.588 0.000
0.000 0.000 4.158
Ta Cl
1 1
Cartesian
0.000 0.000 0.000
1.494 0.863 2.079
```

Properties
Formation energy from raw total energies, eV/atom: 0.359
Fermi-level density of states, states/eV/atom: 0.86



DFT (SCAN) results for a crystal of YTc2PbC relaxed with PBEsol.

Cell and atoms, written as POSCAR:
```
YTc2PbC
1.0
4.969 0.000 0.000
0.000 4.969 0.000
0.000 0.000 4.311
Y Tc Pb C
1 2 1 1
Cartesian
0.000 0.000 0.000
0.000 2.485 0.000
2.485 0.000 0.000
2.485 2.485 2.155
0.000 0.000 2.155
```

Properties
Fermi-level density of states, states/eV/atom: 0.81



DFT (SCAN) results for a crystal of ZrTa2Tc relaxed with PBEsol.

Cell and atoms, written as POSCAR:
```
ZrTa2Tc
1.0
1.518 0.876 9.002
-1.518 0.876 9.002
0.000 -1.753 9.002
Zr Ta Tc
1 2 1
Cartesian
0.000 0.000 0.000
0.000 0.000 6.527
0.000 0.000 20.478
0.000 0.000 13.502
```

Properties
ΔE to the lowest computed polymorph, eV per formula unit: 1.48
Fermi-level density of states, states/eV/atom: 0.95



DFT (SCAN) results for a crystal of NiBr2 relaxed with PBEsol.

Cell and atoms, written as POSCAR:
```
NiBr2
1.0
1.802 1.040 6.185
-1.802 1.040 6.185
0.000 -2.081 6.185
Ni Br
1 2
Cartesian
0.000 0.000 0.000
0.000 0.000 4.806
0.000 0.000 13.748
```

Properties
Formation energy from raw total energies, eV/atom: -0.717
Fermi-level density of states, states/eV/atom: 0.00



DFT (SCAN) results for a crystal of AsOsBr2 relaxed with PBEsol.

Cell and atoms, written as POSCAR:
```
AsOsBr2
1.0
3.002 0.000 0.000
0.000 3.002 0.000
0.000 0.000 9.307
As Os Br
1 1 2
Cartesian
0.000 0.000 0.000
1.501 1.501 7.858
0.000 0.000 6.003
1.501 1.501 2.806
```

Properties
ΔE to the lowest computed polymorph, eV per formula unit: 0.00
Formation energy from raw total energies, eV/atom: 0.490
Fermi-level density of states, states/eV/atom: 0.92



DFT (SCAN) results for a crystal of TaAlSe4 relaxed with PBEsol.

Cell and atoms, written as POSCAR:
```
TaAlSe4
1.0
0.000 3.869 3.869
3.869 0.000 3.869
3.869 3.869 0.000
Ta Al Se
1 1 4
Cartesian
0.000 0.000 0.000
5.804 5.804 5.804
2.895 2.895 2.895
4.843 4.843 2.895
4.843 2.895 4.843
2.895 4.843 4.843
```

Properties
Formation energy from raw total energies, eV/atom: 1.103
Fermi-level density of states, states/eV/atom: 0.89



DFT (SCAN) results for a crystal of CoOs2 relaxed with PBEsol.

Cell and atoms, written as POSCAR:
```
CoOs2
1.0
1.342 -6.788 0.000
1.342 6.788 0.000
0.000 0.000 4.230
Co Os
2 4
Cartesian
1.342 3.735 3.172
1.342 -3.735 1.057
1.342 5.194 1.057
1.342 0.795 1.057
1.342 -0.795 3.172
1.342 -5.194 3.172
```

Properties
ΔE to the lowest computed polymorph, eV per formula unit: 0.00
Fermi-level density of states, states/eV/atom: 0.71



DFT (SCAN) results for a crystal of AlP2Se relaxed with PBEsol.

Cell and atoms, written as POSCAR:
```
AlP2Se
1.0
3.512 0.000 0.000
0.000 3.512 0.000
0.000 0.000 5.438
Al P Se
1 2 1
Cartesian
0.000 0.000 0.000
1.756 1.756 1.099
1.756 1.756 4.339
0.000 0.000 2.719
```

Properties
Formation energy from raw total energies, eV/atom: 0.398
Fermi-level density of states, states/eV/atom: 0.36



Number 1: theoretical density 9.152 g/cm³, total energy -47.20 eV per atom. Number 2: theoretical density 5.204 g/cm³, total energy -17.05 eV per atom. Number 3: theoretical density 7.083 g/cm³, total energy -26.88 eV per atom. Number 4: theoretical density 2.554 g/cm³, total energy -6.18 eV per atom. Number 5: theoretical density 11.176 g/cm³, total energy -36.92 eV per atom. Number 6: theoretical density 7.864 g/cm³, total energy -34.43 eV per atom. Number 7: theoretical density 12.740 g/cm³, total energy -49.63 eV per atom. Number 8: theoretical density 5.215 g/cm³, total energy -19.08 eV per atom. Number 9: theoretical density 8.415 g/cm³, total energy -32.26 eV per atom. Number 10: theoretical density 7.508 g/cm³, total energy -24.67 eV per atom. Number 11: theoretical density 18.939 g/cm³, total energy -53.54 eV per atom. Number 12: theoretical density 4.156 g/cm³, total energy -11.76 eV per atom.